(1)
First-principles (PBE-GGA) data for crystalline Ac2Pr13 at its relaxed geometry, as listed in Alexandria via LeMat-Bulk.

Energy in eV per cell: -187.12
M_tot in μB/atom: 0.000

Cell: 9.5241 9.5241 25.8274 Å, 90.00 90.00 120.00°
With the nearest neighbours (Å) after each atom.
Space group R-3m (No. 166, hexagonal axes)
One atom of each set of equivalent atoms:
1 Ac 0.0000 0.0000 0.2458 [6 per cell]  9 Pr 3.59-3.98
2 Pr 0.0000 0.0000 0.0000 [3 per cell]  12 Pr 3.49-3.53
3 Pr 0.0826 0.5413 0.3016 [18 per cell]  7 Pr 3.53-3.80, 1 Ac 3.71
4 Pr 0.0955 0.5478 0.5547 [18 per cell]  4 Pr 3.24-3.49, 1 Ac 3.59



(2)
First-principles (PBE-GGA) data for crystalline AcPr3 at its relaxed geometry, as listed in Alexandria via LeMat-Bulk.

Energy in eV per cell: -36.57
M_tot in μB/atom: 0.000

Cell: 3.8122 12.3048 6.5730 Å, 90.00 90.00 90.00°
With the nearest neighbours (Å) after each atom.
Space group Imm2 (No. 44)
One atom of each set of equivalent atoms:
1 Ac 0.0000 0.0000 0.0000 [2 per cell]  10 Pr 3.76-3.83, 2 Ac 3.81
2 Pr 0.0000 0.2475 0.3349 [4 per cell]  3 Ac 3.76-3.80, 9 Pr 3.76-3.81
3 Pr 0.0000 0.5000 0.0047 [2 per cell]  8 Pr 3.76-3.81, 4 Ac 3.77-3.83



(3)
First-principles (PBE-GGA) data for crystalline Ac13Pr2 at its relaxed geometry, as listed in Alexandria via LeMat-Bulk.

Energy in eV per cell: -62.06
M_tot in μB/atom: 0.000

Cell: 7.3642 9.9351 9.9430 Å, 66.43 82.21 82.26°
With the nearest neighbours (Å) after each atom.
Space group P-1 (No. 2)
One atom of each set of equivalent atoms:
1 Ac 0.0000 0.0000 0.0000 [1 per cell]  12 Ac 3.85-4.17, 2 Pr 4.09
2 Ac 0.0971 0.4395 0.7541 [2 per cell]  2 Pr 3.55-3.79, 3 Ac 3.68-3.90
3 Ac 0.2018 0.2008 0.1987 [2 per cell]  12 Ac 3.85-4.22, 2 Pr 4.10-4.14
4 Ac 0.2876 0.9726 0.6263 [2 per cell]  2 Pr 3.53-3.79, 3 Ac 3.68-3.89
5 Ac 0.2978 0.6346 0.9645 [2 per cell]  10 Ac 3.67-4.10
6 Ac 0.4024 0.3995 0.4008 [2 per cell]  11 Ac 3.82-4.16, 3 Pr 4.09-4.14
7 Ac 0.4938 0.8331 0.1722 [2 per cell]  1 Pr 3.54, 4 Ac 3.69-3.89
8 Pr 0.1015 0.7687 0.4309 [2 per cell]  5 Ac 3.53-3.79



(4)
First-principles (PBE-GGA) data for crystalline Ac3Pr at its relaxed geometry, as listed in Alexandria via LeMat-Bulk.

Excess energy over the best structure of this formula in the dataset in meV/atom: 0
M_tot in μB/atom: 0.000

Cell: 5.5427 5.5427 5.5427 Å, 90.00 90.00 90.00°
With the nearest neighbours (Å) after each atom.
Space group Pm-3m (No. 221)
One atom of each set of equivalent atoms:
1 Ac 0.0000 0.0000 0.5000 [3 per cell]  4 Pr 3.92, 8 Ac 3.92
2 Pr 0.5000 0.5000 0.5000 [1 per cell]  12 Ac 3.92



(5)
First-principles (PBE-GGA) data for crystalline Ac4Pr at its relaxed geometry, as listed in Alexandria via LeMat-Bulk.

Excess energy over the best structure of this formula in the dataset in meV/atom: 288
M_tot in μB/atom: 0.000

Cell: 10.4444 10.4444 8.4824 Å, 90.00 90.00 90.00°
With the nearest neighbours (Å) after each atom.
Space group I4_1/amd (No. 141, origin choice 2)
One atom of each set of equivalent atoms:
1 Ac 0.0000 0.0592 0.2263 [16 per cell]  2 Pr 3.34-3.58
2 Pr 0.0000 0.2500 0.8750 [4 per cell]  8 Ac 3.34-3.58



(6)
First-principles (PBE-GGA) data for crystalline AcPr3 at its relaxed geometry, as listed in Alexandria via LeMat-Bulk.

Energy in eV per cell: -36.70
M_tot in μB/atom: 0.000

Cell: 5.3550 5.3550 10.7114 Å, 90.00 90.00 90.00°
With the nearest neighbours (Å) after each atom.
Space group I4/mmm (No. 139)
One atom of each set of equivalent atoms:
1 Ac 0.0000 0.0000 0.0000 [2 per cell]  12 Pr 3.79
2 Pr 0.0000 0.0000 0.5000 [2 per cell]  4 Ac 3.79, 8 Pr 3.79
3 Pr 0.0000 0.5000 0.2500 [4 per cell]  8 Pr 3.79, 4 Ac 3.79



(7)
First-principles (PBE-GGA) data for crystalline Ac3Pr5 at its relaxed geometry, as listed in Alexandria via LeMat-Bulk.

Energy in eV per cell: -36.03
M_tot in μB/atom: 0.000

Cell: 3.8477 3.8477 21.2904 Å, 90.00 90.00 90.00°
With the nearest neighbours (Å) after each atom.
Space group P4/mmm (No. 123)
One atom of each set of equivalent atoms:
1 Ac 0.0000 0.0000 0.0000 [1 per cell]  8 Pr 3.84, 4 Ac 3.85
2 Ac 0.5000 0.5000 0.3731 [2 per cell]  8 Pr 3.83-3.84, 4 Ac 3.85
3 Pr 0.0000 0.0000 0.2459 [2 per cell]  8 Pr 3.71-3.85, 4 Ac 3.84
4 Pr 0.0000 0.0000 0.5000 [1 per cell]  8 Ac 3.83, 4 Pr 3.85
5 Pr 0.5000 0.5000 0.1273 [2 per cell]  8 Pr 3.71-3.85, 4 Ac 3.84



(8)
First-principles (PBE-GGA) data for crystalline AcPr3 at its relaxed geometry, as listed in Alexandria via LeMat-Bulk.

Energy in eV per cell: -18.39
M_tot in μB/atom: 0.000

Cell: 5.3382 5.3382 5.3382 Å, 90.00 90.00 90.00°
With the nearest neighbours (Å) after each atom.
Space group Pm-3m (No. 221)
One atom of each set of equivalent atoms:
1 Ac 0.0000 0.0000 0.0000 [1 per cell]  12 Pr 3.77
2 Pr 0.0000 0.5000 0.5000 [3 per cell]  4 Ac 3.77, 8 Pr 3.77



(9)
First-principles (PBE-GGA) data for crystalline AcPr6 at its relaxed geometry, as listed in Alexandria via LeMat-Bulk.

Excess energy over the best structure of this formula in the dataset in meV/atom: 861
M_tot in μB/atom: 0.000

Cell: 8.3850 8.3850 8.3850 Å, 90.00 90.00 90.00°
With the nearest neighbours (Å) after each atom.
Space group Im-3m (No. 229)
One atom of each set of equivalent atoms:
1 Ac 0.0000 0.0000 0.0000 [2 per cell]  24 Pr 4.69
2 Pr 0.0000 0.2500 0.5000 [12 per cell]  4 Pr 2.96



(10)
First-principles (PBE-GGA) data for crystalline Ac2Pr5 at its relaxed geometry, as listed in Alexandria via LeMat-Bulk.

Energy in eV per cell: -63.87
M_tot in μB/atom: 0.000

Cell: 11.9991 5.3477 8.5176 Å, 90.00 98.09 90.00°
With the nearest neighbours (Å) after each atom.
Space group C2/m (No. 12)
One atom of each set of equivalent atoms:
1 Ac 0.0708 0.0000 0.2176 [4 per cell]  11 Pr 3.77-3.82, 1 Ac 3.85
2 Pr 0.0000 0.5000 0.5000 [2 per cell]  4 Ac 3.77, 8 Pr 3.79-3.82
3 Pr 0.1450 0.5000 0.9291 [4 per cell]  7 Pr 3.76-3.84, 5 Ac 3.79-3.82
4 Pr 0.2140 0.0000 0.6428 [4 per cell]  4 Ac 3.77-3.79, 8 Pr 3.79-3.80



(11)
First-principles (PBE-GGA) data for crystalline AcPrPt2 at its relaxed geometry, as listed in Alexandria via LeMat-Bulk.

Excess energy over the best structure of this formula in the dataset in meV/atom: 144
M_tot in μB/atom: 0.000

Cell: 7.4224 7.4224 7.4224 Å, 90.00 90.00 90.00°
With the nearest neighbours (Å) after each atom.
Space group Fm-3m (No. 225)
One atom of each set of equivalent atoms:
1 Ac 0.0000 0.0000 0.0000 [4 per cell]  8 Pt 3.21
2 Pr 0.0000 0.0000 0.5000 [4 per cell]  8 Pt 3.21
3 Pt 0.2500 0.2500 0.2500 [8 per cell]  4 Ac 3.21, 4 Pr 3.21



(12)
First-principles (PBE-GGA) data for crystalline Ac3PrPt at its relaxed geometry, as listed in Alexandria via LeMat-Bulk.

Excess energy over the best structure of this formula in the dataset in meV/atom: 96
M_tot in μB/atom: 0.151

Cell: 5.9720 5.9720 5.9720 Å, 90.00 90.00 90.00°
With the nearest neighbours (Å) after each atom.
Space group Pm-3m (No. 221)
One atom of each set of equivalent atoms:
1 Ac 0.0000 0.0000 0.5000 [3 per cell]  2 Pt 2.99
2 Pr 0.5000 0.5000 0.5000 [1 per cell]  12 Ac 4.22
3 Pt 0.0000 0.0000 0.0000 [1 per cell]  6 Ac 2.99



(13)
First-principles (PBE-GGA) data for crystalline Ac2PrPt2 at its relaxed geometry, as listed in Alexandria via LeMat-Bulk.

Excess energy over the best structure of this formula in the dataset in meV/atom: 58
M_tot in μB/atom: 0.000

Cell: 8.5044 11.3888 6.6060 Å, 90.00 90.00 90.00°
With the nearest neighbours (Å) after each atom.
Space group Ibam (No. 72)
One atom of each set of equivalent atoms:
1 Ac 0.1374 0.1531 0.0000 [8 per cell]  3 Pt 2.98-3.17
2 Pr 0.0000 0.5000 0.2500 [4 per cell]  4 Pt 3.07, 2 Pr 3.30
3 Pt 0.2302 0.1044 0.5000 [8 per cell]  3 Ac 2.98-3.17, 2 Pr 3.07



(14)
First-principles (PBE-GGA) data for crystalline Ac4PrPt4 at its relaxed geometry, as listed in Alexandria via LeMat-Bulk.

Energy in eV per cell: -109.63
M_tot in μB/atom: 0.000

Cell: 9.7147 9.7147 6.1686 Å, 90.00 90.00 90.00°
With the nearest neighbours (Å) after each atom.
Space group I4/m (No. 87)
One atom of each set of equivalent atoms:
1 Ac 0.1004 0.3055 0.0000 [8 per cell]  5 Pt 3.04-3.14
2 Pr 0.0000 0.0000 0.5000 [2 per cell]  4 Pt 2.99
3 Pt 0.0990 0.2919 0.5000 [8 per cell]  1 Pr 2.99, 5 Ac 3.04-3.14



(15)
First-principles (PBE-GGA) data for crystalline Ac5PrPt3 at its relaxed geometry, as listed in Alexandria via LeMat-Bulk.

Energy in eV per cell: -100.64
M_tot in μB/atom: 0.000

Cell: 7.2200 4.4679 21.5874 Å, 90.00 91.04 90.00°
With the nearest neighbours (Å) after each atom.
Space group P2/m (No. 10)
One atom of each set of equivalent atoms:
1 Ac 0.1792 0.0000 0.4264 [2 per cell]  3 Pt 3.04-3.08
2 Ac 0.1924 0.0000 0.7639 [2 per cell]  3 Pt 3.05-3.10
3 Ac 0.2211 0.0000 0.1067 [2 per cell]  3 Pt 3.04-3.09
4 Ac 0.2830 0.5000 0.9362 [2 per cell]  3 Pt 3.04-3.09
5 Ac 0.3191 0.5000 0.5968 [2 per cell]  3 Pt 3.03-3.08
6 Pr 0.3086 0.5000 0.2671 [2 per cell]  3 Pt 2.93-2.98
7 Pt 0.0000 0.5000 0.5000 [1 per cell]  6 Ac 3.04-3.08
8 Pt 0.0110 0.5000 0.1697 [2 per cell]  1 Pr 2.98, 5 Ac 3.04-3.09
9 Pt 0.4915 0.0000 0.3313 [2 per cell]  2 Pr 2.93, 4 Ac 3.03-3.10
10 Pt 0.5000 0.0000 0.0000 [1 per cell]  6 Ac 3.04-3.09



(16)
First-principles (PBE-GGA) data for crystalline Ac5PrPt6 at its relaxed geometry, as listed in Alexandria via LeMat-Bulk.

Energy in eV per cell: -150.70
M_tot in μB/atom: 0.000

Cell: 7.5592 13.0876 7.5671 Å, 90.00 109.56 90.00°
With the nearest neighbours (Å) after each atom.
Space group C2/m (No. 12)
One atom of each set of equivalent atoms:
1 Ac 0.0000 0.0000 0.0000 [2 per cell]  6 Pt 3.08-3.13
2 Ac 0.0000 0.1663 0.5000 [4 per cell]  6 Pt 3.09-3.10
3 Ac 0.0000 0.3326 0.0000 [4 per cell]  6 Pt 3.08-3.12
4 Pr 0.0000 0.5000 0.5000 [2 per cell]  6 Pt 3.04
5 Pt 0.2452 0.5000 0.2524 [4 per cell]  1 Pr 3.04, 5 Ac 3.08-3.13
6 Pt 0.2462 0.3361 0.7471 [8 per cell]  1 Pr 3.04, 5 Ac 3.08-3.12



(17)
First-principles (PBE-GGA) data for crystalline AcPrPt at its relaxed geometry, as listed in Alexandria via LeMat-Bulk.

Excess energy over the best structure of this formula in the dataset in meV/atom: 98
M_tot in μB/atom: 0.000

Cell: 7.3445 7.3445 7.3445 Å, 90.00 90.00 90.00°
With the nearest neighbours (Å) after each atom.
Space group F-43m (No. 216)
One atom of each set of equivalent atoms:
1 Ac 0.0000 0.0000 0.0000 [4 per cell]  4 Pt 3.18
2 Pr 0.0000 0.0000 0.5000 [4 per cell]  4 Pt 3.18
3 Pt 0.2500 0.2500 0.7500 [4 per cell]  4 Ac 3.18, 4 Pr 3.18



(18)
First-principles (PBE-GGA) data for crystalline Ac3PrPt at its relaxed geometry, as listed in Alexandria via LeMat-Bulk.

Excess energy over the best structure of this formula in the dataset in meV/atom: 0
M_tot in μB/atom: 0.000

Cell: 10.6400 7.2001 10.5184 Å, 90.00 100.79 90.00°
With the nearest neighbours (Å) after each atom.
Space group P2_1/c (No. 14)
One atom of each set of equivalent atoms:
1 Ac 0.0714 0.0601 0.1924 [4 per cell]  3 Pt 2.97-3.04
2 Ac 0.2201 0.5951 0.0803 [4 per cell]  2 Pt 3.03-3.13
3 Ac 0.3305 0.0995 0.9539 [4 per cell]  1 Pt 3.09
4 Pr 0.4417 0.5764 0.8182 [4 per cell]  8 Ac 3.76-4.09, 3 Pr 3.95-4.15
5 Pt 0.0645 0.2271 0.4497 [4 per cell]  6 Ac 2.97-3.13



(19)
First-principles (PBE-GGA) data for crystalline AcPrPt at its relaxed geometry, as listed in Alexandria via LeMat-Bulk.

Excess energy over the best structure of this formula in the dataset in meV/atom: 20
M_tot in μB/atom: 0.000

Cell: 7.0155 7.3526 10.7250 Å, 90.00 128.56 90.00°
With the nearest neighbours (Å) after each atom.
Space group P2_1/c (No. 14)
One atom of each set of equivalent atoms:
1 Ac 0.1419 0.0837 0.3826 [4 per cell]  3 Pt 3.03-3.05
2 Pr 0.3658 0.5759 0.6144 [4 per cell]  3 Pt 2.93-2.97
3 Pt 0.3649 0.7442 0.3620 [4 per cell]  3 Pr 2.93-2.97, 3 Ac 3.03-3.05



(20)
First-principles (PBE-GGA) data for crystalline Ac2PrPt2 at its relaxed geometry, as listed in Alexandria via LeMat-Bulk.

Excess energy over the best structure of this formula in the dataset in meV/atom: 0
M_tot in μB/atom: 0.000

Cell: 8.2697 8.2697 4.2638 Å, 90.00 90.00 90.00°
With the nearest neighbours (Å) after each atom.
Space group P4/mbm (No. 127)
One atom of each set of equivalent atoms:
1 Ac 0.1638 0.3362 0.0000 [4 per cell]  6 Pt 3.15-3.29
2 Pr 0.0000 0.0000 0.5000 [2 per cell]  4 Pt 3.20
3 Pt 0.1383 0.6383 0.5000 [4 per cell]  6 Ac 3.15-3.29, 2 Pr 3.20, 1 Pt 3.24